Record 1
A relaxed structure of YBeRe2Mo, computed with GGA-PBE.

The final energy is -29.970 eV per formula unit. The calculation puts the energy relative to the elements at 3.190 eV/atom. The calculation puts the volume at 22.1 Å³/atom.

Cell and atoms, written as extended XYZ:
```
5
Lattice="-2.215 -1.486 4.012 -3.098 -2.485 -2.630 2.913 -3.832 0.189" Properties=species:S:1:pos:R:3 pbc="T T T"
Be -1.200 -3.901 0.785
Mo -1.549 -1.242 -1.315
Y 0.000 0.000 0.000
Re -1.107 -0.743 2.006
Re 1.456 -1.916 0.094
```



Record 2
A relaxed structure of Pm2CoBi, computed with GGA-PBE.

The final energy is -21.300 eV per formula unit. The calculation puts the energy relative to the elements at -0.203 eV/atom. The calculation puts the volume at 26.4 Å³/atom. The offset from the most stable computed form is 95 meV per atom.

Cell and atoms, written as extended XYZ:
```
4
Lattice="4.057 0.000 0.000 0.000 5.099 0.000 0.000 0.000 5.099" Properties=species:S:1:pos:R:3 pbc="T T T"
Pm 0.000 0.000 2.550
Co 2.028 2.550 2.550
Pm 0.000 2.550 0.000
Bi 2.028 0.000 0.000
```



Record 3
A relaxed structure of KLa2S3, computed with GGA-PBE.

The final energy is -35.217 eV per formula unit. The calculation puts the volume at 28.0 Å³/atom.

Cell and atoms, written as extended XYZ:
```
12
Lattice="4.212 0.000 0.000 -2.106 3.648 0.000 0.000 0.000 21.836" Properties=species:S:1:pos:R:3 pbc="T T T"
S 0.000 0.000 10.918
S 0.000 2.432 7.633
K 0.000 0.000 16.377
S 0.000 2.432 3.285
S 2.106 1.216 18.551
S 2.106 1.216 14.203
La 0.000 2.432 12.642
La 2.106 1.216 1.724
K 0.000 0.000 5.459
S 0.000 0.000 0.000
La 2.106 1.216 9.194
La 0.000 2.432 20.112
```



Record 4
A relaxed structure of Si2Ir2S, computed with GGA-PBE.

The final energy is -34.034 eV per formula unit. The calculation puts the volume at 16.0 Å³/atom. The offset from the most stable computed form is 0 meV per atom.

Cell and atoms, written as extended XYZ:
```
5
Lattice="3.670 0.000 0.000 0.000 3.670 0.000 1.835 1.835 5.924" Properties=species:S:1:pos:R:3 pbc="T T T"
Ir 3.670 3.670 4.428
Si 3.670 1.835 2.962
Ir 1.835 1.835 1.496
Si 1.835 3.670 2.962
S 0.000 0.000 0.000
```



Record 5
A relaxed structure of ZrSi2Rh, computed with GGA-PBE.

The final energy is -29.136 eV per formula unit. The calculation puts the volume at 15.3 Å³/atom.

Cell and atoms, written as extended XYZ:
```
4
Lattice="3.019 0.000 0.000 0.000 3.019 0.000 0.000 0.000 6.732" Properties=species:S:1:pos:R:3 pbc="T T T"
Si 0.000 0.000 3.620
Rh 1.509 1.509 5.049
Zr 1.509 1.509 1.683
Si 0.000 0.000 6.478
```



Record 6
A relaxed structure of Hg4PPt, computed with GGA-PBE.

The final energy is -8.313 eV per formula unit. The calculation puts the energy relative to the elements at 0.724 eV/atom. The calculation puts the volume at 21.7 Å³/atom.

Cell and atoms, written as extended XYZ:
```
6
Lattice="0.000 4.021 4.021 4.021 0.000 4.021 4.021 4.021 0.000" Properties=species:S:1:pos:R:3 pbc="T T T"
Hg 5.028 5.028 3.015
Pt 0.000 0.000 0.000
Hg 3.015 3.015 3.015
Hg 3.015 5.028 5.028
P 6.032 6.032 6.032
Hg 5.028 3.015 5.028
```



Record 7
A relaxed structure of Sm3Tl2Zn, computed with GGA-PBE.

The final energy is -21.793 eV per formula unit. The calculation puts the energy relative to the elements at -0.272 eV/atom. The calculation puts the volume at 27.6 Å³/atom. The offset from the most stable computed form is 96 meV per atom.

Cell and atoms, written as extended XYZ:
```
12
Lattice="-4.036 -3.236 3.924 -2.547 -3.182 -5.244 8.012 -2.991 0.402" Properties=species:S:1:pos:R:3 pbc="T T T"
Sm 0.896 -3.052 -2.733
Sm -3.227 -2.872 1.207
Tl 2.080 -5.780 -3.869
Tl -0.991 -4.473 -0.577
Tl -0.650 -3.629 2.951
Sm 0.114 -7.263 -1.638
Sm 1.316 -2.146 0.720
Sm -3.356 -3.546 -2.527
Zn -1.170 -1.223 -0.793
Tl 2.421 -4.937 -0.341
Zn -5.413 -5.195 -0.527
Sm 0.534 -6.357 1.814
```



Record 8
A relaxed structure of MgPaGe, computed with GGA-PBE.

The final energy is -15.908 eV per formula unit. The calculation puts the energy relative to the elements at -0.067 eV/atom. The calculation puts the volume at 21.9 Å³/atom.

Cell and atoms, written as extended XYZ:
```
6
Lattice="-1.910 -1.799 -1.757 3.108 0.015 -0.556 1.813 -11.503 9.811" Properties=species:S:1:pos:R:3 pbc="T T T"
Ge -0.476 -1.097 -1.198
Pa 0.135 -4.968 2.104
Mg 1.462 -2.187 0.651
Ge 2.102 -6.243 4.108
Mg 2.740 -10.296 7.568
Pa 0.727 -8.728 5.311
```